The following is a DFT calculation (PBE) of crystalline PmSm2Tl3Se6 at its relaxed geometry.

abc: 7.4148 12.8422 8.1443
angles: 90.00 107.66 90.00
Closest atoms and distances in Å follow each position.
Space group C2/m (No. 12)
Unique sites:
Pm  0.0000  0.0000  0.0000 x2  6 Se 2.96
Sm  0.0000  0.3333  0.0000 x4  6 Se 2.95
Tl  0.0000  0.1666  0.5000 x4  6 Se 3.34-3.35
Tl  0.0000  0.5000  0.5000 x2  6 Se 3.34-3.35
Se  0.2350  0.5000  0.2087 x4  2 Sm 2.95, 1 Pm 2.96
Se  0.2370  0.1673  0.2089 x8  2 Sm 2.95, 1 Pm 2.96

Computed properties:
Spin magnetization in μB per formula unit: 0.000
E in eV/atom: -4.901
Theoretical density in g/cm3: 6.89
Raw formation energy in eV/f.u.: -16.6
V in Å³ per cell: 739.0

The following is a DFT calculation (PBE) of crystalline CaLaP2 at its relaxed geometry.

abc: 4.1706 4.1706 10.9233
angles: 90.00 90.00 90.00
Closest atoms and distances in Å follow each position.
Space group I-4m2 (No. 119)
Unique sites:
Ca  0.0000  0.0000  0.0000 x2  4 P 2.95
La  0.0000  0.5000  0.2500 x2  4 P 2.95
P  0.0000  0.0000  0.5000 x2  4 Ca 2.95
P  0.0000  0.5000  0.7500 x2  4 La 2.95

Computed properties:
Formation energy from the elements in eV/atom: -0.910
Spin magnetization in μB per formula unit: 0.000
E in eV/atom: -5.347
Theoretical density in g/cm3: 4.21
ΔE to the lowest computed polymorph in eV per atom: 0.235
D(E_F) in states/eV/cell: 3.6
V in Å³ per cell: 190.0

The following is a DFT calculation (PBE) of crystalline Te2IrSe at its relaxed geometry.

abc: 3.0960 3.1156 10.5874
angles: 90.00 90.00 90.00
Closest atoms and distances in Å follow each position.
Space group Pmm2 (No. 25)
Unique sites:
Te  0.0000  0.0000  0.0000 x1  4 Te 3.10-3.12
Te  0.5000  0.5000  0.3506 x1  4 Ir 3.02, 4 Te 3.10-3.12
Ir  0.0000  0.0000  0.5470 x1  4 Se 2.59
Se  0.5000  0.5000  0.6771 x1  4 Ir 2.59

Computed properties:
Spin magnetization in μB per formula unit: 0.000
E in eV/atom: -4.403
Theoretical density in g/cm3: 8.56
D(E_F) in states/eV/cell: 2.1
Raw formation energy in eV/f.u.: 1.0
V in Å³ per cell: 102.1

The following is a DFT calculation (PBE) of crystalline PaPH2 at its relaxed geometry.

abc: 6.6019 3.8119 4.9659
angles: 90.00 116.21 90.00
Closest atoms and distances in Å follow each position.
Space group Cm (No. 8)
Unique sites:
Pa  0.0000  0.0000  0.0000 x2  6 H 2.21-2.35
P  0.2926  0.5000  0.3792 x2  1 H 2.50, 4 Pa 2.77
H  0.1060  0.5000  0.8174 x2  3 H 2.27, 3 Pa 2.35, 1 P 2.50
H  0.3148  0.0000  0.9442 x2  3 Pa 2.21, 3 H 2.27

Computed properties:
Spin magnetization in μB per formula unit: 0.000
E in eV/atom: -5.896
Theoretical density in g/cm3: 7.82
ΔE to the lowest computed polymorph in eV per atom: 0.000
V in Å³ per cell: 112.1

The following is a DFT calculation (PBE) of crystalline TlCr2 at its relaxed geometry.

abc: 10.9691 3.0176 7.3311
angles: 90.00 121.26 90.00
Closest atoms and distances in Å follow each position.
Space group C2/m (No. 12)
Unique sites:
Tl  0.0848  0.0000  0.3131 x4  9 Cr 2.93-3.04, 2 Tl 3.02
Cr  0.1533  0.5000  0.7124 x4  3 Cr 2.39-2.40
Cr  0.1641  0.5000  0.0483 x4  3 Cr 2.39-2.40

Computed properties:
Formation energy from the elements in eV/atom: 0.610
Spin magnetization in μB per formula unit: 0.273
E in eV/atom: -6.594
Theoretical density in g/cm3: 9.87
ΔE to the lowest computed polymorph in eV per atom: 0.170
D(E_F) in states/eV/cell: 9.3
V in Å³ per cell: 207.4

The following is a DFT calculation (PBE) of crystalline Ca2ErMnS4 at its relaxed geometry.

abc: 6.7186 3.8986 6.8073
angles: 90.00 109.76 90.00
Closest atoms and distances in Å follow each position.
Space group P2/m (No. 10)
Unique sites:
Ca  0.0000  0.0000  0.0000 x1  6 S 2.82-2.84
Ca  0.5000  0.5000  0.0000 x1  6 S 2.79-2.81
Er  0.0000  0.5000  0.5000 x1  6 S 2.72-2.73
Mn  0.5000  0.0000  0.5000 x1  6 S 2.67-2.71
S  0.2491  0.0000  0.7391 x2  1 Mn 2.71, 2 Er 2.72, 3 Ca 2.79-2.82
S  0.2621  0.5000  0.2696 x2  2 Mn 2.67, 1 Er 2.73, 3 Ca 2.81-2.84

Computed properties:
Spin magnetization in μB per formula unit: 4.377
E in eV/atom: -5.960
Theoretical density in g/cm3: 4.26
D(E_F) in states/eV/cell: 2.0
Raw formation energy in eV/f.u.: -13.4
V in Å³ per cell: 167.8

The following is a DFT calculation (PBE) of crystalline Al2ZnTc2 at its relaxed geometry.

abc: 6.5640 6.5640 3.3650
angles: 90.00 90.00 90.00
Closest atoms and distances in Å follow each position.
Space group P4/mbm (No. 127)
Unique sites:
Al  0.1335  0.3665  0.0000 x4  1 Al 2.48, 6 Tc 2.50-2.60, 2 Zn 2.56
Zn  0.0000  0.0000  0.0000 x2  4 Al 2.56
Tc  0.1674  0.6674  0.5000 x4  6 Al 2.50-2.60

Computed properties:
Formation energy from the elements in eV/atom: -0.171
Spin magnetization in μB per formula unit: 0.000
E in eV/atom: -6.070
Theoretical density in g/cm3: 7.22
ΔE to the lowest computed polymorph in eV per atom: 0.000
D(E_F) in states/eV/cell: 0.3
V in Å³ per cell: 145.0

The following is a DFT calculation (PBE) of crystalline PrNdSiPt at its relaxed geometry.

abc: 4.2496 4.2169 11.0871
angles: 90.00 90.00 90.00
Closest atoms and distances in Å follow each position.
Space group Amm2 (No. 38)
Unique sites:
Pr  0.0000  0.0000  0.0000 x2  4 Si 3.10, 3 Pt 3.14-3.20
Nd  0.5000  0.0000  0.2807 x2  4 Pt 3.08, 3 Si 3.13-3.23
Si  0.5000  0.0000  0.5722 x2  2 Pt 2.66
Pt  0.0000  0.0000  0.7167 x2  2 Si 2.66

Computed properties:
Spin magnetization in μB per formula unit: 0.000
E in eV/atom: -6.169
Theoretical density in g/cm3: 8.50
D(E_F) in states/eV/cell: 5.2
Raw formation energy in eV/f.u.: -3.7
V in Å³ per cell: 198.7

The following is a DFT calculation (PBE) of crystalline Pr6GaN at its relaxed geometry.

abc: 6.7485 6.7731 7.3145
angles: 62.63 63.14 60.38
Closest atoms and distances in Å follow each position.
Space group P-1 (No. 2)
Unique sites:
Pr  0.0457  0.4011  0.2677 x2  1 N 2.54
Pr  0.2158  0.9566  0.7321 x2  1 N 2.54
Pr  0.3981  0.7852  0.2701 x2  1 N 2.54
Ga  0.5000  0.5000  0.0000 x1  6 Pr 3.01
N  0.0000  0.0000  0.5000 x1  6 Pr 2.54

Computed properties:
Spin magnetization in μB per formula unit: 0.000
E in eV/atom: -5.334
Theoretical density in g/cm3: 6.25
D(E_F) in states/eV/cell: 10.8
Raw formation energy in eV/f.u.: -2.6
V in Å³ per cell: 246.9

The following is a DFT calculation (PBE) of crystalline AlGe3Sb at its relaxed geometry.

abc: 4.9225 4.9225 4.9225
angles: 90.00 90.00 90.00
Closest atoms and distances in Å follow each position.
Space group Pm-3m (No. 221)
Unique sites:
Al  0.0000  0.0000  0.0000 x1  6 Ge 2.46
Ge  0.0000  0.0000  0.5000 x3  2 Al 2.46
Sb  0.5000  0.5000  0.5000 x1  12 Ge 3.48

Computed properties:
Spin magnetization in μB per formula unit: 0.000
E in eV/atom: -3.843
Theoretical density in g/cm3: 5.10
ΔE to the lowest computed polymorph in eV per atom: 0.000
D(E_F) in states/eV/cell: 2.2
Raw formation energy in eV/f.u.: 2.5
V in Å³ per cell: 119.3

The following is a DFT calculation (PBE) of crystalline ZnIr2Rh at its relaxed geometry.

abc: 3.8656 3.8656 7.6220
angles: 90.00 90.00 90.00
Closest atoms and distances in Å follow each position.
Space group I-4m2 (No. 119)
Unique sites:
Zn  0.0000  0.0000  0.0000 x2  4 Rh 2.71, 8 Ir 2.71-2.73
Ir  0.0000  0.0000  0.5000 x2  4 Ir 2.71, 4 Rh 2.71, 4 Zn 2.73
Ir  0.0000  0.5000  0.7500 x2  4 Ir 2.71, 4 Zn 2.71, 4 Rh 2.73
Rh  0.0000  0.5000  0.2500 x2  8 Ir 2.71-2.73, 4 Zn 2.71

Computed properties:
Formation energy from the elements in eV/atom: -0.101
Spin magnetization in μB per formula unit: 0.000
E in eV/atom: -6.688
Theoretical density in g/cm3: 16.12
D(E_F) in states/eV/cell: 4.6
V in Å³ per cell: 113.9

The following is a DFT calculation (PBE) of crystalline SrCa2Pd at its relaxed geometry.

abc: 3.7135 3.7135 9.7538
angles: 90.00 90.00 90.00
Closest atoms and distances in Å follow each position.
Space group P4/mmm (No. 123)
Unique sites:
Sr  0.0000  0.0000  0.0000 x1  4 Sr 3.71, 8 Ca 4.15
Ca  0.5000  0.5000  0.3298 x2  4 Pd 3.11, 1 Ca 3.32
Pd  0.0000  0.0000  0.5000 x1  8 Ca 3.11

Computed properties:
Formation energy from the elements in eV/atom: -0.337
Spin magnetization in μB per formula unit: 0.000
E in eV/atom: -3.057
Theoretical density in g/cm3: 3.39
ΔE to the lowest computed polymorph in eV per atom: 0.079
D(E_F) in states/eV/cell: 2.3
V in Å³ per cell: 134.5

The following is a DFT calculation (PBE) of crystalline ZrPaAlO6 at its relaxed geometry.

abc: 5.2038 5.2038 9.5773
angles: 90.00 90.00 120.00
Closest atoms and distances in Å follow each position.
Space group P-31c (No. 163)
Unique sites:
Zr  0.3333  0.6667  0.2500 x2  6 O 2.12
Pa  0.0000  0.0000  0.0000 x2  6 O 2.21
Al  0.3333  0.6667  0.7500 x2  6 O 1.94
O  0.0257  0.3569  0.6356 x12  1 Al 1.94, 1 Zr 2.12

Computed properties:
Spin magnetization in μB per formula unit: 0.000
E in eV/atom: -8.995
Theoretical density in g/cm3: 6.58
D(E_F) in states/eV/cell: 0.0
Raw formation energy in eV/f.u.: -29.4
V in Å³ per cell: 224.6

The following is a DFT calculation (PBE) of crystalline K2NaCdI5 at its relaxed geometry.

abc: 4.6394 21.9171 14.9302
angles: 90.00 90.00 90.00
Closest atoms and distances in Å follow each position.
Space group Cmc2_1 (No. 36)
Unique sites:
K  0.0000  0.1310  0.0000 x4  6 I 3.57-3.77
K  0.0000  0.1329  0.3609 x4  7 I 3.54-3.94
Na  0.0000  0.2143  0.7103 x4  5 I 3.13-3.38
Cd  0.0000  0.4380  0.1070 x4  4 I 2.79-2.87
I  0.0000  0.0427  0.7164 x4  2 Cd 2.87
I  0.0000  0.2967  0.3521 x4  2 Na 3.15
I  0.0000  0.3143  0.0516 x4  1 Cd 2.83
I  0.0000  0.3560  0.6826 x4  1 Na 3.13
I  0.0000  0.4992  0.4448 x4  1 Cd 2.79

Computed properties:
Spin magnetization in μB per formula unit: 0.000
E in eV/atom: -2.478
Theoretical density in g/cm3: 3.71
D(E_F) in states/eV/cell: 0.0
Raw formation energy in eV/f.u.: -10.1
V in Å³ per cell: 1518.1

The following is a DFT calculation (PBE) of crystalline CsTiCuOF5 at its relaxed geometry.

abc: 7.3147 7.3287 10.6912
angles: 90.00 90.00 90.00
Closest atoms and distances in Å follow each position.
Space group Imma (No. 74)
Unique sites:
Cs  0.0000  0.2500  0.1162 x4  5 F 3.10-3.40
Ti  0.2500  0.2500  0.7500 x4  2 O 1.87, 4 F 1.96
Cu  0.0000  0.0000  0.5000 x4  6 F 1.96-2.09
O  0.0000  0.2500  0.7877 x4  2 Ti 1.87
F  0.0000  0.2500  0.4343 x4  2 Cu 1.96
F  0.2124  0.0599  0.6240 x16  1 Ti 1.96, 1 Cu 2.09

Computed properties:
Spin magnetization in μB per formula unit: 1.001
E in eV/atom: -5.638
Theoretical density in g/cm3: 4.12
D(E_F) in states/eV/cell: 18.7
Raw formation energy in eV/f.u.: -23.6
V in Å³ per cell: 573.1

The following is a DFT calculation (PBE) of crystalline LiDy2US4 at its relaxed geometry.

abc: 6.7189 3.8582 6.7440
angles: 90.00 109.22 90.00
Closest atoms and distances in Å follow each position.
Space group P2/m (No. 10)
Unique sites:
Li  0.0000  0.0000  0.0000 x1  6 S 2.70-2.71
Dy  0.5000  0.0000  0.5000 x1  6 S 2.77-2.79
Dy  0.5000  0.5000  0.0000 x1  6 S 2.74
U  0.0000  0.5000  0.5000 x1  6 S 2.75
S  0.2445  0.5000  0.2443 x2  2 Li 2.71, 3 Dy 2.74-2.77, 1 U 2.75
S  0.2470  0.0000  0.7554 x2  1 Li 2.70, 3 Dy 2.74-2.79, 2 U 2.75

Computed properties:
Spin magnetization in μB per formula unit: 2.800
E in eV/atom: -6.589
Theoretical density in g/cm3: 7.02
D(E_F) in states/eV/cell: 6.6
Raw formation energy in eV/f.u.: -13.8
V in Å³ per cell: 165.1

The following is a DFT calculation (PBE) of crystalline MgNpCd2 at its relaxed geometry.

abc: 3.0946 3.0946 9.3862
angles: 90.00 90.00 90.00
Closest atoms and distances in Å follow each position.
Space group P4/mmm (No. 123)
Unique sites:
Mg  0.0000  0.0000  0.0000 x1  8 Cd 3.09, 4 Mg 3.09
Np  0.0000  0.0000  0.5000 x1  4 Np 3.09, 8 Cd 3.33
Cd  0.5000  0.5000  0.2323 x2  4 Mg 3.09, 4 Cd 3.09, 4 Np 3.33

Computed properties:
Formation energy from the elements in eV/atom: 0.098
Spin magnetization in μB per formula unit: 4.509
E in eV/atom: -3.993
Theoretical density in g/cm3: 8.98
D(E_F) in states/eV/cell: 6.9
V in Å³ per cell: 89.9

The following is a DFT calculation (PBE) of crystalline Pm5UP6 at its relaxed geometry.

abc: 7.0847 12.2727 7.0783
angles: 90.00 109.49 90.00
Closest atoms and distances in Å follow each position.
Space group C2/m (No. 12)
Unique sites:
Pm  0.0000  0.0000  0.0000 x2  6 P 2.89-3.01
Pm  0.0000  0.1661  0.5000 x4  6 P 2.90-2.91
Pm  0.0000  0.3305  0.0000 x4  6 P 2.88-2.97
U  0.0000  0.5000  0.5000 x2  6 P 2.78-2.79
P  0.2384  0.5000  0.2581 x4  1 U 2.78, 5 Pm 2.90-3.01
P  0.2408  0.3399  0.7424 x8  1 U 2.79, 5 Pm 2.88-2.97

Computed properties:
Formation energy from the elements in eV/atom: -1.470
Spin magnetization in μB per formula unit: 1.752
E in eV/atom: -7.095
Theoretical density in g/cm3: 6.58
D(E_F) in states/eV/cell: 16.2
V in Å³ per cell: 580.2

The following is a DFT calculation (PBE) of crystalline Cs2K3Rb6 at its relaxed geometry.

abc: 6.4334 6.4334 50.9014
angles: 90.00 90.00 90.00
Closest atoms and distances in Å follow each position.
Space group I4/mmm (No. 139)
Unique sites:
Cs  0.0000  0.0000  0.0485 x4  1 Cs 4.93, 4 Rb 5.17, 4 K 5.17
K  0.0000  0.0000  0.3015 x4  9 Rb 4.54-4.82
K  0.0000  0.0000  0.5000 x2  8 Cs 5.17
Rb  0.0000  0.0000  0.2122 x4  5 K 4.54-4.60
Rb  0.0000  0.5000  0.1279 x8  4 Rb 4.55, 2 K 4.82

Computed properties:
Formation energy from the elements in eV/atom: 0.055
Spin magnetization in μB per formula unit: 0.000
E in eV/atom: -0.927
Theoretical density in g/cm3: 1.41
ΔE to the lowest computed polymorph in eV per atom: 0.021
D(E_F) in states/eV/cell: 17.8
V in Å³ per cell: 2106.7

The following is a DFT calculation (PBE) of crystalline TmIrO4 at its relaxed geometry.

abc: 5.8371 4.8649 5.6475
angles: 90.00 109.72 90.00
Closest atoms and distances in Å follow each position.
Space group P2_1/c (No. 14)
Unique sites:
Tm  0.0000  0.0000  0.0000 x2  6 O 2.16-2.31
Ir  0.5000  0.0000  0.5000 x2  6 O 1.97-2.03
O  0.1704  0.1571  0.3829 x4  1 Ir 1.97, 2 Tm 2.16-2.19
O  0.3753  0.7087  0.6705 x4  2 Ir 1.98-2.03

Computed properties:
Spin magnetization in μB per formula unit: 0.270
E in eV/atom: -7.399
Theoretical density in g/cm3: 9.35
ΔE to the lowest computed polymorph in eV per atom: 0.059
D(E_F) in states/eV/cell: 9.6
Raw formation energy in eV/f.u.: -11.2
V in Å³ per cell: 151.0